A plane-wave DFT calculation with GGA-PBEsol was carried out for a relaxed structure of Ca3Sn.

POSCAR file:
```
Ca3Sn
1.0
4.9347 0.0000 0.0000
0.0000 4.9347 0.0000
0.0000 0.0000 4.9347
Ca Sn
3 1
Direct
0.0000 0.0000 0.5000
0.0000 0.5000 0.0000
0.5000 0.0000 0.0000
0.5000 0.5000 0.5000
```

Properties
Energy of formation = -0.481 eV per atom
SG = Pm-3m, No. 221
VASP energy = -3.145 eV/atom
Calculated volume = 120.2 Å³/f.u.
Density = 3.30 g cm⁻³

---

A plane-wave DFT calculation with GGA-PBEsol was carried out for a relaxed structure of SrCaSn.

POSCAR file:
```
SrCaSn
1.0
8.2738 0.0000 0.0000
0.0000 5.1242 0.0000
0.0000 0.0000 9.5137
Sr Ca Sn
4 4 4
Direct
0.0205 0.2500 0.1846
0.4795 0.7500 0.6846
0.5205 0.2500 0.3154
0.9795 0.7500 0.8154
0.1519 0.2500 0.5712
0.3481 0.7500 0.0712
0.6519 0.2500 0.9288
0.8481 0.7500 0.4288
0.2365 0.7500 0.3917
0.2635 0.2500 0.8917
0.7365 0.7500 0.1083
0.7635 0.2500 0.6083
```

Properties
Energy of formation = -0.708 eV per atom
SG = Pnma, No. 62
VASP energy = -3.452 eV/atom
Calculated volume = 100.8 Å³/f.u.
Density = 4.06 g cm⁻³

---

A plane-wave DFT calculation with GGA-PBEsol was carried out for a relaxed structure of CaTa3Sn.

POSCAR file:
```
CaTa3Sn
1.0
5.0744 0.0000 0.0000
0.0000 5.0744 0.0000
0.0000 0.0000 5.0744
Ca Ta Sn
1 3 1
Direct
0.0000 0.0000 0.0000
0.0000 0.5000 0.5000
0.5000 0.0000 0.5000
0.5000 0.5000 0.0000
0.5000 0.5000 0.5000
```

Properties
Energy of formation = 1.693 eV per atom
SG = Pm-3m, No. 221
VASP energy = -7.116 eV/atom
Calculated volume = 130.7 Å³/f.u.
Density = 8.92 g cm⁻³

---

A plane-wave DFT calculation with GGA-PBEsol was carried out for a relaxed structure of Ca2TaTiSn.

POSCAR file:
```
Ca2TaTiSn
1.0
5.1594 0.0000 0.0000
0.0000 5.1594 0.0000
0.0000 0.0000 5.1420
Ca Ta Ti Sn
2 1 1 1
Direct
0.0000 0.5000 0.0000
0.5000 0.0000 0.0000
0.0000 0.0000 0.5000
0.5000 0.5000 0.0000
0.5000 0.5000 0.5000
```

Properties
Energy of formation = 1.357 eV per atom
SG = P4/mmm, No. 123
VASP energy = -4.523 eV/atom
Calculated volume = 136.9 Å³/f.u.
Density = 5.19 g cm⁻³

---

A plane-wave DFT calculation with GGA-PBEsol was carried out for a relaxed structure of CaSn2Te2.

POSCAR file:
```
CaSn2Te2
1.0
-3.0050 3.0050 4.4816
3.0050 -3.0050 4.4816
3.0050 3.0050 -4.4816
Ca Sn Te
1 2 2
Direct
0.0000 0.0000 0.0000
0.3391 0.3391 0.0000
0.6609 0.6609 0.0000
0.2500 0.7500 0.5000
0.7500 0.2500 0.5000
```

Properties
SG = I4/mmm, No. 139
VASP energy = -3.957 eV/atom
Calculated volume = 161.9 Å³/f.u.
Formation energy without anion corrections = -2.1 eV per formula unit
Density = 5.46 g cm⁻³

---

A plane-wave DFT calculation with GGA-PBEsol was carried out for a relaxed structure of CaZr2TlSn.

POSCAR file:
```
CaZr2TlSn
1.0
5.0053 0.0000 0.0000
0.0000 5.0053 0.0000
0.0000 0.0000 5.3962
Ca Zr Tl Sn
1 2 1 1
Direct
0.0000 0.0000 0.0000
0.0000 0.5000 0.0000
0.5000 0.0000 0.0000
0.5000 0.5000 0.5000
0.0000 0.0000 0.5000
```

Properties
Energy of formation = 1.215 eV per atom
SG = P4/mmm, No. 123
VASP energy = -4.226 eV/atom
Calculated volume = 135.2 Å³/f.u.
Density = 6.70 g cm⁻³

---

A plane-wave DFT calculation with GGA-PBEsol was carried out for a relaxed structure of CaZnSn.

POSCAR file:
```
CaZnSn
1.0
4.6120 0.0000 0.0000
-2.3060 3.9941 0.0000
0.0000 0.0000 7.4044
Ca Zn Sn
2 2 2
Direct
0.0000 0.0000 0.0000
0.0000 0.0000 0.5000
0.3333 0.6667 0.1892
0.6667 0.3333 0.6892
0.3333 0.6667 0.7797
0.6667 0.3333 0.2797
```

Properties
Energy of formation = -0.548 eV per atom
SG = P6_3mc, No. 186
VASP energy = -3.206 eV/atom
Calculated volume = 68.2 Å³/f.u.
Density = 5.46 g cm⁻³

---

A plane-wave DFT calculation with GGA-PBEsol was carried out for a relaxed structure of CaZnSn.

POSCAR file:
```
CaZnSn
1.0
4.5721 0.0000 0.0000
-2.2861 3.9596 0.0000
0.0000 0.0000 15.5359
Ca Zn Sn
4 4 4
Direct
0.0000 0.0000 0.0000
0.0000 0.0000 0.2500
0.0000 0.0000 0.5000
0.0000 0.0000 0.7500
0.3333 0.6667 0.1079
0.3333 0.6667 0.3921
0.6667 0.3333 0.6079
0.6667 0.3333 0.8921
0.3333 0.6667 0.6238
0.3333 0.6667 0.8762
0.6667 0.3333 0.1238
0.6667 0.3333 0.3762
```

Properties
Energy of formation = -0.478 eV per atom
SG = P6_3/mmc, No. 194
VASP energy = -3.136 eV/atom
Calculated volume = 70.3 Å³/f.u.
Density = 5.29 g cm⁻³

---

A plane-wave DFT calculation with GGA-PBEsol was carried out for a relaxed structure of Ca2Zn2Sn.

POSCAR file:
```
Ca2Zn2Sn
1.0
7.1668 0.0000 0.0000
0.0000 7.1668 0.0000
0.0000 0.0000 4.5597
Ca Zn Sn
4 4 2
Direct
0.1819 0.3181 0.0000
0.3181 0.8181 0.0000
0.6819 0.1819 0.0000
0.8181 0.6819 0.0000
0.1195 0.6195 0.5000
0.3805 0.1195 0.5000
0.6195 0.8805 0.5000
0.8805 0.3805 0.5000
0.0000 0.0000 0.5000
0.5000 0.5000 0.5000
```

Properties
Energy of formation = -0.383 eV per atom
SG = P4/mbm, No. 127
VASP energy = -2.721 eV/atom
Calculated volume = 117.1 Å³/f.u.
Density = 4.67 g cm⁻³

---

A plane-wave DFT calculation with GGA-PBEsol was carried out for a relaxed structure of Ca2ZnSn.

POSCAR file:
```
Ca2ZnSn
1.0
0.0000 3.7082 3.7082
3.7082 0.0000 3.7082
3.7082 3.7082 0.0000
Ca Zn Sn
2 1 1
Direct
0.2500 0.2500 0.2500
0.7500 0.7500 0.7500
0.0000 0.0000 0.0000
0.5000 0.5000 0.5000
```

Properties
Energy of formation = -0.521 eV per atom
SG = Fm-3m, No. 225
VASP energy = -3.048 eV/atom
Calculated volume = 102.0 Å³/f.u.
Density = 4.30 g cm⁻³

---

A plane-wave DFT calculation with GGA-PBEsol was carried out for a relaxed structure of Ca2ZrSn.

POSCAR file:
```
Ca2ZrSn
1.0
0.0000 3.7730 3.7730
3.7730 0.0000 3.7730
3.7730 3.7730 0.0000
Ca Zr Sn
2 1 1
Direct
0.2500 0.2500 0.2500
0.7500 0.7500 0.7500
0.0000 0.0000 0.0000
0.5000 0.5000 0.5000
```

Properties
Energy of formation = 0.060 eV per atom
SG = Fm-3m, No. 225
VASP energy = -4.344 eV/atom
Calculated volume = 107.4 Å³/f.u.
Density = 4.48 g cm⁻³

---

A plane-wave DFT calculation with GGA-PBEsol was carried out for a relaxed structure of CaZrSn3.

POSCAR file:
```
CaZrSn3
1.0
5.3501 0.0000 0.0000
0.0000 5.3501 0.0000
0.0000 0.0000 5.3501
Ca Zr Sn
1 1 3
Direct
0.0000 0.0000 0.0000
0.5000 0.5000 0.5000
0.0000 0.0000 0.5000
0.0000 0.5000 0.0000
0.5000 0.0000 0.0000
```

Properties
Energy of formation = 0.958 eV per atom
SG = Pm-3m, No. 221
VASP energy = -3.842 eV/atom
Calculated volume = 153.1 Å³/f.u.
Density = 5.29 g cm⁻³